(1)
A geometry-optimized SmPuMnIr structure. Source: the Alexandria database, functional PBE-GGA.

Geometry as POSCAR:
```
SmPuMnIr
1.0
-4.6062 -1.0342 1.3018
-3.4057 -0.7528 -3.4375
-1.7975 -4.4976 -0.7224
Mn Ir Sm Pu
1 1 1 1
direct
0.5000 0.5000 0.5000 Mn
0.0000 0.0000 0.0000 Ir
0.7500 0.7500 0.7500 Sm
0.2500 0.2500 0.2500 Pu
```

Calculated values
ΔH_f (0 K)	-0.2016	eV per atom
total magnetization	2.31	μB/f.u.
symmetry	F-43m, No. 216

---

(2)
A geometry-optimized LaTeWN2 structure. Source: the Alexandria database, functional PBE-GGA.

Geometry as POSCAR:
```
LaTeWN2
1.0
-3.1696 -2.6994 0.2879
0.6164 -1.1466 -3.9650
3.4542 -3.8789 1.6588
N Te W La
2 1 1 1
direct
0.0000 0.5000 0.0000 N
0.5000 0.0000 0.0000 N
0.0000 0.0000 0.5000 Te
0.0000 0.0000 0.0000 W
0.5000 0.5000 0.5000 La
```

Calculated values
energy above the lowest structure with this stoichiometry	0	meV per atom
total magnetization	0.00	μB/f.u.
E_form (uncorrected)	-0.1230	eV per atom
symmetry	P4/mmm, No. 123

---

(3)
A geometry-optimized Ce6GaAu3 structure. Source: the Alexandria database, functional PBE-GGA.

Geometry as POSCAR:
```
Ce6GaAu3
1.0
7.9698 -1.0760 -0.7601
2.9667 5.5582 0.1045
2.9667 1.9560 5.2037
Ce Ga Au
6 1 3
direct
0.3252 0.1255 0.5698 Ce
0.6748 0.4302 0.8745 Ce
0.6748 0.8745 0.4302 Ce
0.3252 0.5698 0.1255 Ce
0.0884 0.6762 0.6762 Ce
0.9116 0.3238 0.3238 Ce
0.5000 0.5000 0.5000 Ga
0.3032 0.1014 0.1014 Au
0.6968 0.8986 0.8986 Au
0.0000 0.0000 0.0000 Au
```

Calculated values
ΔH_f (0 K)	-0.2574	eV per atom
total magnetization	4.79	μB/f.u.
symmetry	C2/m, No. 12

---

(4)
A geometry-optimized Ta2HgPb structure. Source: the Alexandria database, functional PBE-GGA.

Geometry as POSCAR:
```
Ta2HgPb
1.0
3.6511 0.0000 0.0000
0.0000 3.6511 0.0000
0.0000 0.0000 6.3919
Hg Pb Ta
1 1 2
direct
0.0000 0.0000 0.4872 Hg
0.5000 0.5000 0.7528 Pb
0.0000 0.0000 0.0382 Ta
0.5000 0.5000 0.2218 Ta
```

Calculated values
energy above the lowest structure with this stoichiometry	84	meV per atom
ΔH_f (0 K)	0.4066	eV per atom
total magnetization	0.00	μB/f.u.
symmetry	P4mm, No. 99

---

(5)
A geometry-optimized Li2PrY2In2 structure. Source: the Alexandria database, functional PBE-GGA.

Geometry as POSCAR:
```
Li2PrY2In2
1.0
-1.4269 -4.4201 1.6025
1.5982 -1.6756 4.3335
-7.0171 1.7243 6.0400
Li Pr Y In
2 1 2 2
direct
0.5957 0.5957 0.2130 Li
0.4043 0.4043 0.7870 Li
0.0000 0.0000 0.0000 Pr
0.1286 0.1286 0.6142 Y
0.8714 0.8714 0.3858 Y
0.7414 0.7414 0.7758 In
0.2586 0.2586 0.2242 In
```

Calculated values
ΔH_f (0 K)	-0.2499	eV per atom
total magnetization	0.00	μB/f.u.
symmetry	R-3m, No. 166

---

(6)
A geometry-optimized Nb6BC2 structure. Source: the Alexandria database, functional PBE-GGA.

Geometry as POSCAR:
```
Nb6BC2
1.0
5.2179 0.0000 0.0000
0.0000 5.2179 0.0000
0.0000 0.0000 9.7858
Nb B C
12 2 4
direct
0.2937 0.2937 0.3305 Nb
0.7063 0.7063 0.3305 Nb
0.2063 0.7937 0.8305 Nb
0.7937 0.2063 0.8305 Nb
0.2063 0.7937 0.1695 Nb
0.7937 0.2063 0.1695 Nb
0.2937 0.2937 0.6695 Nb
0.7063 0.7063 0.6695 Nb
0.2994 0.2994 0.0000 Nb
0.7006 0.7006 0.0000 Nb
0.2006 0.7994 0.5000 Nb
0.7994 0.2006 0.5000 Nb
0.0000 0.0000 0.0000 B
0.5000 0.5000 0.5000 B
0.0000 0.0000 0.3330 C
0.5000 0.5000 0.8330 C
0.5000 0.5000 0.1670 C
0.0000 0.0000 0.6670 C
```

Calculated values
ΔH_f (0 K)	-0.3771	eV per atom
total magnetization	0.00	μB/f.u.
symmetry	P4_2/mnm, No. 136

---

(7)
A geometry-optimized NdDyErHg structure. Source: the Alexandria database, functional PBE-GGA.

Geometry as POSCAR:
```
NdDyErHg
1.0
-5.3501 -0.8277 0.6504
-1.8878 -2.0889 4.6695
-2.8460 3.1352 3.4355
Dy Nd Hg Er
1 1 1 1
direct
0.0000 0.0000 0.0000 Dy
0.5000 0.5000 0.5000 Nd
0.7500 0.7500 0.7500 Hg
0.2500 0.2500 0.2500 Er
```

Calculated values
energy above the lowest structure with this stoichiometry	170	meV per atom
ΔH_f (0 K)	-0.0623	eV per atom
total magnetization	0.00	μB/f.u.
symmetry	F-43m, No. 216

---

(8)
A geometry-optimized La4ZnPt structure. Source: the Alexandria database, functional PBE-GGA.

Geometry as POSCAR:
```
La4ZnPt
1.0
7.2226 -0.0512 0.0000
-1.2957 7.3589 0.0000
-2.9635 -3.6538 7.5407
La Zn Pt
8 2 2
direct
0.2803 0.9542 0.5528 La
0.0354 0.7856 0.0648 La
0.2274 0.4013 0.4472 La
0.4706 0.7208 0.9352 La
0.7197 0.0458 0.4472 La
0.7726 0.5987 0.5528 La
0.9646 0.2144 0.9352 La
0.5294 0.2792 0.0648 La
0.3744 0.6244 0.2488 Zn
0.6256 0.3756 0.7512 Zn
0.8403 0.0903 0.1807 Pt
0.1597 0.9097 0.8193 Pt
```

Calculated values
energy above the lowest structure with this stoichiometry	106	meV per atom
ΔH_f (0 K)	-0.4043	eV per atom
total magnetization	0.00	μB/f.u.
symmetry	C2/c, No. 15

---

(9)
A geometry-optimized SrSeS2Cl structure. Source: the Alexandria database, functional PBE-GGA.

Geometry as POSCAR:
```
SrSeS2Cl
1.0
4.9909 0.0000 0.0000
0.0000 4.9909 0.0000
0.0000 0.0000 4.9042
Sr S Se Cl
1 2 1 1
direct
0.5000 0.5000 0.5000 Sr
0.0000 0.5000 0.0000 S
0.5000 0.0000 0.0000 S
0.0000 0.0000 0.0000 Se
0.0000 0.0000 0.5000 Cl
```

Calculated values
energy above the lowest structure with this stoichiometry	0	meV per atom
total magnetization	0.00	μB/f.u.
E_form (uncorrected)	-0.7100	eV per atom
symmetry	P4/mmm, No. 123

---

(10)
A geometry-optimized SnSb3Pt structure. Source: the Alexandria database, functional PBE-GGA.

Geometry as POSCAR:
```
SnSb3Pt
1.0
-3.0007 2.0220 3.8845
-3.1885 -4.2366 -0.2577
3.0019 -2.4788 3.6092
Sb Sn Pt
3 1 1
direct
0.0000 0.5000 0.0000 Sb
0.0000 0.0000 0.5000 Sb
0.5000 0.0000 0.0000 Sb
0.5000 0.5000 0.5000 Sn
0.0000 0.0000 0.0000 Pt
```

Calculated values
total magnetization	0.00	μB/f.u.
E_form (uncorrected)	0.3268	eV per atom
symmetry	Pm-3m, No. 221

---

(11)
A geometry-optimized FeTe2W structure. Source: the Alexandria database, functional PBE-GGA.

Geometry as POSCAR:
```
FeTe2W
1.0
8.1460 -0.0295 -0.0175
7.4663 3.2576 -0.0175
7.4663 1.5438 2.8686
Fe Te W
1 2 1
direct
0.7500 0.7500 0.7500 Fe
0.0018 0.0018 0.0018 Te
0.4982 0.4982 0.4982 Te
0.2500 0.2500 0.2500 W
```

Calculated values
energy above the lowest structure with this stoichiometry	603	meV per atom
total magnetization	2.19	μB/f.u.
E_form (uncorrected)	0.5666	eV per atom
symmetry	R-3m, No. 166

---

(12)
A geometry-optimized AcNd4Er10 structure. Source: the Alexandria database, functional PBE-GGA.

Geometry as POSCAR:
```
AcNd4Er10
1.0
-4.8650 4.8650 5.3961
4.8650 -4.8650 5.3961
4.8650 4.8650 -5.3961
Ac Nd Er
1 4 10
direct
0.0000 0.0000 0.0000 Ac
0.6551 0.0723 0.7273 Nd
0.0723 0.3449 0.4172 Nd
0.9277 0.6551 0.5828 Nd
0.3449 0.9277 0.2727 Nd
0.7500 0.2500 0.5000 Er
0.4587 0.5546 0.3275 Er
0.8689 0.5413 0.0959 Er
0.4454 0.7730 0.9041 Er
0.2270 0.1311 0.6725 Er
0.5413 0.4454 0.6725 Er
0.2500 0.7500 0.5000 Er
0.7730 0.8689 0.3275 Er
0.5546 0.2270 0.0959 Er
0.1311 0.4587 0.9041 Er
```

Calculated values
ΔH_f (0 K)	0.3389	eV per atom
total magnetization	0.00	μB/f.u.
symmetry	I4/m, No. 87

---

(13)
A geometry-optimized CeNdSc2Bi4 structure. Source: the Alexandria database, functional PBE-GGA.

Geometry as POSCAR:
```
CeNdSc2Bi4
1.0
-0.5138 -2.4786 3.6567
6.3555 3.1422 3.0229
-6.1042 4.1722 1.9704
Ce Nd Sc Bi
1 1 2 4
direct
0.0000 0.0000 0.0000 Ce
0.5000 0.5000 0.0000 Nd
0.5000 0.0000 0.5000 Sc
0.0000 0.5000 0.5000 Sc
0.5000 0.2563 0.2718 Bi
0.5000 0.7437 0.7282 Bi
0.0000 0.2412 0.7276 Bi
0.0000 0.7588 0.2724 Bi
```

Calculated values
ΔH_f (0 K)	-0.7560	eV per atom
total magnetization	0.79	μB/f.u.
symmetry	P2/m, No. 10

---

(14)
A geometry-optimized V4CrMo2 structure. Source: the Alexandria database, functional PBE-GGA.

Geometry as POSCAR:
```
V4CrMo2
1.0
-2.4974 0.2355 0.5274
1.2293 -4.4939 4.7275
0.5712 2.0942 6.4638
V Cr Mo
4 1 2
direct
0.0405 0.2892 0.5746 V
0.9595 0.7108 0.4254 V
0.3958 0.4231 0.8540 V
0.6042 0.5769 0.1460 V
0.0000 0.0000 0.0000 Cr
0.2451 0.8527 0.7193 Mo
0.7549 0.1473 0.2807 Mo
```

Calculated values
energy above the lowest structure with this stoichiometry	0	meV per atom
ΔH_f (0 K)	0.0915	eV per atom
total magnetization	0.00	μB/f.u.
symmetry	P-1, No. 2

---

(15)
A geometry-optimized GeTeAsIr2 structure. Source: the Alexandria database, functional PBE-GGA.

Geometry as POSCAR:
```
GeTeAsIr2
1.0
-1.8575 -4.2812 -1.4520
4.8508 -1.8014 -0.8939
0.2307 -1.6575 4.5921
As Ir Te Ge
1 2 1 1
direct
0.5000 0.5000 0.5000 As
0.0000 0.0000 0.5000 Ir
0.5000 0.0000 0.0000 Ir
0.0000 0.0000 0.0000 Te
0.0000 0.5000 0.0000 Ge
```

Calculated values
total magnetization	0.00	μB/f.u.
E_form (uncorrected)	1.5643	eV per atom
symmetry	P4/mmm, No. 123

---

(16)
A geometry-optimized Na5Sn2Se5 structure. Source: the Alexandria database, functional PBE-GGA.

Geometry as POSCAR:
```
Na5Sn2Se5
1.0
4.2219 0.0000 0.0000
-2.1110 6.9793 -0.2214
0.0000 -3.6950 11.7087
Na Sn Se
5 2 5
direct
0.5000 0.0000 0.5000 Na
0.6559 0.3118 0.0473 Na
0.7344 0.4688 0.3617 Na
0.2656 0.5312 0.6383 Na
0.3441 0.6882 0.9527 Na
0.0472 0.0944 0.7900 Sn
0.9528 0.9056 0.2100 Sn
0.1061 0.2121 0.4081 Se
0.6860 0.3721 0.7963 Se
0.3140 0.6279 0.2037 Se
0.8939 0.7879 0.5920 Se
0.0000 0.0000 0.0000 Se
```

Calculated values
total magnetization	0.00	μB/f.u.
E_form (uncorrected)	-0.7928	eV per atom
symmetry	C2/m, No. 12

---

(17)
A geometry-optimized Li2AcP2 structure. Source: the Alexandria database, functional PBE-GGA.

Geometry as POSCAR:
```
Li2AcP2
1.0
-0.1266 0.3203 -4.3544
1.2192 -4.1803 -0.3430
-9.6061 -2.8075 0.0728
Li Ac P
4 2 4
direct
0.5000 0.5000 0.5000 Li
0.0000 0.0000 0.5000 Li
0.0000 0.5000 0.1122 Li
0.5000 0.0000 0.8878 Li
0.5000 0.0000 0.2357 Ac
0.0000 0.5000 0.7643 Ac
0.0000 0.5000 0.3562 P
0.5000 0.0000 0.6438 P
0.5000 0.5000 0.0000 P
0.0000 0.0000 0.0000 P
```

Calculated values
energy above the lowest structure with this stoichiometry	0	meV per atom
ΔH_f (0 K)	-0.9309	eV per atom
total magnetization	0.00	μB/f.u.
symmetry	P4/nmm, No. 129

---

(18)
A geometry-optimized Li3NiRh2 structure. Source: the Alexandria database, functional PBE-GGA.

Geometry as POSCAR:
```
Li3NiRh2
1.0
2.8376 0.0000 0.0000
0.0000 3.9950 -1.3182
0.0000 -0.0188 6.6547
Li Ni Rh
3 1 2
direct
0.0000 0.6661 0.3322 Li
0.0000 0.3339 0.6678 Li
0.5000 0.5000 0.0000 Li
0.0000 0.0000 0.0000 Ni
0.5000 0.8367 0.6733 Rh
0.5000 0.1633 0.3267 Rh
```

Calculated values
ΔH_f (0 K)	-0.0575	eV per atom
total magnetization	0.00	μB/f.u.
symmetry	Cmmm, No. 65

---

(19)
A geometry-optimized Ac3InCu2Pd6 structure. Source: the Alexandria database, functional PBE-GGA.

Geometry as POSCAR:
```
Ac3InCu2Pd6
1.0
-0.6357 5.9051 0.1196
-3.8619 -3.4624 2.8959
5.1472 0.4053 7.3488
Ac In Cu Pd
3 1 2 6
direct
0.3333 0.6667 0.6407 Ac
0.6667 0.3333 0.3593 Ac
0.0000 0.0000 0.0000 Ac
0.0000 0.0000 0.5000 In
0.6667 0.3333 0.9617 Cu
0.3333 0.6667 0.0383 Cu
0.6459 0.8229 0.2737 Pd
0.1771 0.3541 0.2737 Pd
0.1771 0.8229 0.2737 Pd
0.8229 0.6459 0.7263 Pd
0.3541 0.1771 0.7263 Pd
0.8229 0.1771 0.7263 Pd
```

Calculated values
ΔH_f (0 K)	-0.5341	eV per atom
total magnetization	0.00	μB/f.u.
symmetry	P-3m1, No. 164

---

(20)
A geometry-optimized CePaIr2 structure. Source: the Alexandria database, functional PBE-GGA.

Geometry as POSCAR:
```
CePaIr2
1.0
4.0040 0.0000 0.0000
2.0020 3.4676 0.0000
2.0020 1.1559 6.6201
Pa Ce Ir
1 1 2
direct
0.0000 0.0000 0.0000 Pa
0.5000 0.5000 0.5000 Ce
0.7467 0.7467 0.7598 Ir
0.2533 0.2533 0.2402 Ir
```

Calculated values
energy above the lowest structure with this stoichiometry	27	meV per atom
ΔH_f (0 K)	-0.8307	eV per atom
total magnetization	0.00	μB/f.u.
symmetry	R-3m, No. 166

---

(21)
A geometry-optimized Rb2TiCI6 structure. Source: the Alexandria database, functional PBE-GGA.

Geometry as POSCAR:
```
Rb2TiCI6
1.0
-3.9420 1.2348 6.6045
1.3487 -7.3560 2.1802
4.0344 -1.2409 7.2341
I C Rb Ti
6 1 2 1
direct
0.2215 0.2215 0.5570 I
0.7785 0.7785 0.4430 I
0.2581 0.2581 0.0000 I
0.7419 0.7419 0.0000 I
0.7419 0.2581 0.0000 I
0.2581 0.7419 0.0000 I
0.5000 0.5000 0.0000 C
0.7500 0.2500 0.5000 Rb
0.2500 0.7500 0.5000 Rb
0.0000 0.0000 0.0000 Ti
```

Calculated values
total magnetization	2.00	μB/f.u.
E_form (uncorrected)	-0.2808	eV per atom
symmetry	I4/mmm, No. 139

---

(22)
A geometry-optimized LiMoPt2 structure. Source: the Alexandria database, functional PBE-GGA.

Geometry as POSCAR:
```
LiMoPt2
1.0
4.5251 0.0000 0.0000
0.0000 2.7239 -0.0093
0.0000 0.0175 4.8214
Mo Pt Li
1 2 1
direct
0.5000 0.6254 0.8000 Mo
0.0000 0.1251 0.9473 Pt
0.5000 0.1252 0.3214 Pt
0.0000 0.6244 0.4313 Li
```

Calculated values
energy above the lowest structure with this stoichiometry	44	meV per atom
ΔH_f (0 K)	-0.4015	eV per atom
total magnetization	0.00	μB/f.u.
symmetry	Pmm2, No. 25

---

(23)
A geometry-optimized PaHgPt2O8 structure. Source: the Alexandria database, functional PBE-GGA.

Geometry as POSCAR:
```
PaHgPt2O8
1.0
6.1311 0.3224 0.0000
-2.4303 5.6381 0.0000
-1.8504 -2.9802 5.0387
Pa Hg Pt O
1 1 2 8
direct
0.0000 0.0000 0.0000 Pa
0.2500 0.7500 0.5000 Hg
0.7500 0.2500 0.5000 Pt
0.5000 0.5000 0.0000 Pt
0.3654 0.0448 0.3206 O
0.2815 0.4477 0.1662 O
0.2815 0.1153 0.8338 O
0.7242 0.0448 0.6794 O
0.8847 0.7185 0.1662 O
0.9552 0.2758 0.3206 O
0.9552 0.6346 0.6794 O
0.5523 0.7185 0.8338 O
```

Calculated values
total magnetization	0.00	μB/f.u.
E_form (uncorrected)	-0.9542	eV per atom
symmetry	I-4m2, No. 119

---

(24)
A geometry-optimized Cs3ErSc2Te6 structure. Source: the Alexandria database, functional PBE-GGA.

Geometry as POSCAR:
```
Cs3ErSc2Te6
1.0
-4.5817 -4.7727 -3.8652
7.6094 -0.6665 -0.6024
-0.9578 -3.7911 8.3500
Cs Er Sc Te
3 1 2 6
direct
0.1638 0.8362 0.5000 Cs
0.8362 0.1638 0.5000 Cs
0.5000 0.5000 0.5000 Cs
0.0000 0.0000 0.0000 Er
0.3330 0.6670 0.0000 Sc
0.6670 0.3330 0.0000 Sc
0.9388 0.5961 0.8166 Te
0.7180 0.7180 0.1822 Te
0.0612 0.4039 0.1834 Te
0.5961 0.9388 0.8166 Te
0.2820 0.2820 0.8178 Te
0.4039 0.0612 0.1834 Te
```

Calculated values
total magnetization	0.00	μB/f.u.
E_form (uncorrected)	-1.2759	eV per atom
symmetry	C2/m, No. 12

---

(25)
A geometry-optimized AlTlPd3 structure. Source: the Alexandria database, functional PBE-GGA.

Geometry as POSCAR:
```
AlTlPd3
1.0
-0.5516 -3.2243 3.2743
3.4058 -2.5008 -1.8889
3.0851 2.1843 2.6707
Tl Al Pd
1 1 3
direct
0.5000 0.5000 0.5000 Tl
0.0000 0.0000 0.0000 Al
0.0000 0.5000 0.0000 Pd
0.0000 0.0000 0.5000 Pd
0.5000 0.0000 0.0000 Pd
```

Calculated values
energy above the lowest structure with this stoichiometry	0	meV per atom
ΔH_f (0 K)	0.0033	eV per atom
total magnetization	0.00	μB/f.u.
symmetry	Pm-3m, No. 221